Material: Sr2FeO3
Method: DFT, GGA+U
State: optimized geometry

Properties
The value obtained for the total energy is -6.27 eV per atom. As for the space group: Immm (71). The value obtained for the total moment is 4.00 μB per formula unit.

The structure in POSCAR format:
```
Sr2FeO3
1.0
-3.141 0.333 -1.654
1.719 -0.979 -3.462
-0.565 -5.994 3.710
Sr Fe O
2 1 3
direct
0.650 0.650 0.301 Sr
0.350 0.350 0.699 Sr
0.000 0.000 0.000 Fe
0.842 0.842 0.684 O
0.158 0.158 0.316 O
0.000 0.500 0.000 O
```